Entry 1:
VASP calculation (GGA-PBE) on crystalline PaTl2Hg at its relaxed geometry.

**ΔE_f**: 0.098 eV/atom
**Calculated volume**: 104 Å³/cell
**ΔE to the lowest computed polymorph**: 0.0 meV per atom
**Crystal system**: tetragonal

a = 4.7305 Å, b = 4.7305 Å, c = 4.6465 Å
α = 90.00°, β = 90.00°, γ = 90.00°
Sites, in units of the cell vectors:
Pa: 0.0000 0.0000 0.0000
Tl: 0.0000 0.5000 0.5000
Tl: 0.5000 0.0000 0.5000
Hg: 0.5000 0.5000 0.0000

=====

Entry 2:
VASP calculation (GGA-PBE) on crystalline Pa2TlHg at its relaxed geometry.

**ΔE_f**: 0.357 eV/atom
**Calculated volume**: 425 Å³/cell
**Crystal system**: cubic

a = 7.5209 Å, b = 7.5209 Å, c = 7.5209 Å
α = 90.00°, β = 90.00°, γ = 90.00°
Sites, in units of the cell vectors:
Pa: 0.2500 0.2500 0.2500
Pa: 0.2500 0.2500 0.7500
Pa: 0.2500 0.7500 0.2500
Pa: 0.2500 0.7500 0.7500
Pa: 0.7500 0.2500 0.2500
Pa: 0.7500 0.2500 0.7500
Pa: 0.7500 0.7500 0.2500
Pa: 0.7500 0.7500 0.7500
Tl: 0.0000 0.0000 0.0000
Tl: 0.0000 0.5000 0.5000
Tl: 0.5000 0.0000 0.5000
Tl: 0.5000 0.5000 0.0000
Hg: 0.0000 0.0000 0.5000
Hg: 0.0000 0.5000 0.0000
Hg: 0.5000 0.0000 0.0000
Hg: 0.5000 0.5000 0.5000

=====

Entry 3:
VASP calculation (GGA-PBE) on crystalline PaTlHg2 at its relaxed geometry.

**ΔE_f**: 0.116 eV/atom
**Calculated volume**: 104 Å³/cell
**ΔE to the lowest computed polymorph**: 2.1 meV per atom
**Crystal system**: tetragonal

a = 3.3381 Å, b = 3.3381 Å, c = 9.3281 Å
α = 90.00°, β = 90.00°, γ = 90.00°
Sites, in units of the cell vectors:
Pa: 0.0000 0.0000 0.0000
Tl: 0.0000 0.0000 0.5000
Hg: 0.5000 0.5000 0.2413
Hg: 0.5000 0.5000 0.7587

=====

Entry 4:
VASP calculation (GGA-PBE) on crystalline PaTlHg2 at its relaxed geometry.

**ΔE_f**: 0.114 eV/atom
**Calculated volume**: 102 Å³/cell
**ΔE to the lowest computed polymorph**: 0.0 meV per atom
**Crystal system**: tetragonal

a = 4.6498 Å, b = 4.6498 Å, c = 4.7111 Å
α = 90.00°, β = 90.00°, γ = 90.00°
Sites, in units of the cell vectors:
Pa: 0.0000 0.0000 0.0000
Tl: 0.5000 0.5000 0.0000
Hg: 0.0000 0.5000 0.5000
Hg: 0.5000 0.0000 0.5000

=====

Entry 5:
VASP calculation (GGA-PBE) on crystalline Tm2PaHg at its relaxed geometry.

**ΔE_f**: -0.151 eV/atom
**Calculated volume**: 104 Å³/cell
**ΔE to the lowest computed polymorph**: 0.0 meV per atom
**Crystal system**: tetragonal

a = 3.4314 Å, b = 3.4314 Å, c = 8.8087 Å
α = 90.00°, β = 90.00°, γ = 90.00°
Sites, in units of the cell vectors:
Tm: 0.0000 0.0000 0.2359
Tm: 0.0000 0.0000 0.7641
Pa: 0.5000 0.5000 0.5000
Hg: 0.5000 0.5000 0.0000

=====

Entry 6:
VASP calculation (GGA-PBE) on crystalline TmPaHg at its relaxed geometry.

**ΔE_f**: -0.016 eV/atom
**Calculated volume**: 153 Å³/cell
**ΔE to the lowest computed polymorph**: 139.0 meV per atom
**Crystal system**: tetragonal

a = 3.2732 Å, b = 3.2732 Å, c = 14.2796 Å
α = 90.00°, β = 90.00°, γ = 90.00°
Sites, in units of the cell vectors:
Tm: 0.0000 0.0000 0.0000
Tm: 0.5000 0.5000 0.5000
Pa: 0.0000 0.0000 0.6776
Pa: 0.5000 0.5000 0.1776
Hg: 0.0000 0.0000 0.3465
Hg: 0.5000 0.5000 0.8465

=====

Entry 7:
VASP calculation (GGA-PBE) on crystalline TmPaHg at its relaxed geometry.

**ΔE_f**: -0.155 eV/atom
**Calculated volume**: 303 Å³/cell
**ΔE to the lowest computed polymorph**: 0.0 meV per atom
**Crystal system**: orthorhombic

a = 3.2958 Å, b = 17.5428 Å, c = 5.2462 Å
α = 90.00°, β = 90.00°, γ = 90.00°
Sites, in units of the cell vectors:
Tm: 0.0000 0.0907 0.2500
Tm: 0.0000 0.9093 0.7500
Tm: 0.5000 0.4093 0.7500
Tm: 0.5000 0.5907 0.2500
Pa: 0.0000 0.2320 0.7500
Pa: 0.0000 0.7680 0.2500
Pa: 0.5000 0.2680 0.2500
Pa: 0.5000 0.7320 0.7500
Hg: 0.0000 0.4356 0.2500
Hg: 0.0000 0.5644 0.7500
Hg: 0.5000 0.0644 0.7500
Hg: 0.5000 0.9356 0.2500

=====

Entry 8:
VASP calculation (GGA-PBE) on crystalline TmPaHg4 at its relaxed geometry.

**ΔE_f**: -0.129 eV/atom
**Calculated volume**: 142 Å³/cell
**Crystal system**: hexagonal

a = 4.9972 Å, b = 4.9972 Å, c = 6.5849 Å
α = 90.00°, β = 90.00°, γ = 120.00°
Sites, in units of the cell vectors:
Tm: 0.0000 0.0000 0.0000
Pa: 0.0000 0.0000 0.5000
Hg: 0.3333 0.6667 0.2546
Hg: 0.3333 0.6667 0.7454
Hg: 0.6667 0.3333 0.2546
Hg: 0.6667 0.3333 0.7454

=====

Number 1: M_tot 0.97 μB/cell, total DFT energy (no corrections) -14.1 eV/cell. Number 2: M_tot 11.18 μB/cell, total DFT energy (no corrections) -80.9 eV/cell. Number 3: M_tot 1.42 μB/cell, total DFT energy (no corrections) -12.0 eV/cell. Number 4: M_tot 1.24 μB/cell, total DFT energy (no corrections) -12.0 eV/cell. Number 5: M_tot 0.11 μB/cell, total DFT energy (no corrections) -19.3 eV/cell. Number 6: M_tot 1.26 μB/cell, total DFT energy (no corrections) -28.6 eV/cell. Number 7: M_tot 0.00 μB/cell, total DFT energy (no corrections) -58.9 eV/cell. Number 8: M_tot 0.70 μB/cell, total DFT energy (no corrections) -15.9 eV/cell.